(1)
BaTlAsPb: relaxed, PBE.

The space-group type is Pm. As for the formation energy: -0.461 eV/atom. The value obtained for the distance to the lowest polymorph of the same formula is 0 meV/atom. The calculation puts the calculated density at 7.740 Mg/m³. As for the raw total energy: -3.623 eV per atom.

Cell lengths 5.086, 4.299, 6.619 Å; angles 90.00, 112.36, 90.00 degrees
Atoms (fractional coordinates):
Ba1 0.000 0.000 0.000
Tl1 0.283 0.000 0.567
As1 0.463 0.500 0.925
Pb1 0.694 0.500 0.389


(2)
BaTlAsPb: relaxed, PBE.

The space-group type is Cm. As for the formation energy: -0.418 eV/atom. The value obtained for the distance to the lowest polymorph of the same formula is 43 meV/atom. The calculation puts the calculated density at 7.715 Mg/m³. As for the raw total energy: -3.580 eV per atom.

Cell lengths 6.274, 6.274, 5.940 Å; angles 114.23, 114.23, 39.66 degrees
Atoms (fractional coordinates):
Ba1 0.000 0.000 0.000
Tl1 0.809 0.809 0.342
As1 0.268 0.268 0.933
Pb1 0.610 0.610 0.600